{
  "formula": "LaTaFeO6",
  "functional": "PBE with a Hubbard U",
  "state": "optimized geometry",
  "cell": [[5.537, 0.000, 0.000], [0.000, 5.695, 0.000], [-5.535, 0.000, 7.905]],
  "species": ["La", "La", "Ta", "Ta", "Fe", "Fe", "O", "O", "O", "O", "O", "O", "O", "O", "O", "O", "O", "O"],
  "fractional_positions": [[0.000, 0.195, 0.000], [0.000, 0.805, 0.500], [0.756, 0.276, 0.250], [0.756, 0.724, 0.750], [0.258, 0.261, 0.752], [0.258, 0.739, 0.252], [0.012, 0.458, 0.213], [0.012, 0.542, 0.713], [0.041, 0.233, 0.499], [0.041, 0.767, 0.999], [0.442, 0.259, 0.003], [0.442, 0.741, 0.503], [0.508, 0.024, 0.267], [0.508, 0.976, 0.767], [0.591, 0.457, 0.789], [0.591, 0.543, 0.289], [0.970, 0.014, 0.734], [0.970, 0.986, 0.234]],
  "dos_at_fermi_per_ev_cell": 6.25,
  "dft_energy_ev_per_atom": -8.190,
  "volume_a3_per_fu": 125,
  "space_group": "Pc (7)"
}